Record 1
A plane-wave DFT calculation with GGA-PBE was carried out for an optimized crystal structure of PmHo2Al2Zn2.

```
data_PmHo2Al2Zn2
_cell_length_a 4.5258
_cell_length_b 4.5258
_cell_length_c 27.4328
_cell_angle_alpha 90.00
_cell_angle_beta 90.00
_cell_angle_gamma 120.00
_symmetry_space_group_name_H-M 'R -3 m'
_symmetry_Int_Tables_number 166
_symmetry_space_group_name_Hall '-R 3 2"'
loop_
_atom_site_label
_atom_site_type_symbol
_atom_site_fract_x
_atom_site_fract_y
_atom_site_fract_z
_atom_site_occupancy
Pm1 Pm 0.0000 0.0000 0.0000 1
Ho1 Ho 0.0000 0.0000 0.1287 1
Al1 Al 0.0000 0.0000 0.2600 1
Zn1 Zn 0.0000 0.0000 0.4037 1
```

E, eV per atom: -3.73
Energy relative to the elements, meV per atom: -311
V, A^3/atom: 23.2
DOS(E_F), states/eV per cell: 11.1

Record 2
A plane-wave DFT calculation with GGA-PBE was carried out for an optimized crystal structure of La12Pm5Y2.

```
data_La12Pm5Y2
_cell_length_a 19.6606
_cell_length_b 7.7082
_cell_length_c 10.1552
_cell_angle_alpha 90.00
_cell_angle_beta 117.26
_cell_angle_gamma 90.00
_symmetry_space_group_name_H-M 'C 1 2/m 1'
_symmetry_Int_Tables_number 12
loop_
_symmetry_equiv_pos_as_xyz
'x,y,z'
'-x,-y,-z'
'-x,y,-z'
'x,-y,z'
'x+1/2,y+1/2,z'
'-x+1/2,-y+1/2,-z'
'-x+1/2,y+1/2,-z'
'x+1/2,-y+1/2,z'
loop_
_atom_site_label
_atom_site_type_symbol
_atom_site_fract_x
_atom_site_fract_y
_atom_site_fract_z
_atom_site_occupancy
La1 La 0.0039 0.0000 0.2103 1
La2 La 0.0131 0.5000 0.3505 1
La3 La 0.1578 0.2490 0.8461 1
La4 La 0.1650 0.2324 0.4936 1
Pm1 Pm 0.0000 0.0000 0.5000 1
Pm2 Pm 0.1749 0.0000 0.1660 1
Pm3 Pm 0.1794 0.5000 0.1952 1
Y1 Y 0.0000 0.3015 0.0000 1
```

Polymorph energy (0 for the lowest one), eV per atom: 0.068
E, eV per atom: -4.89
Energy relative to the elements, meV per atom: 152
V, A^3/atom: 36.0
DOS(E_F), states/eV per cell: 66.4

Record 3
A plane-wave DFT calculation with GGA-PBE was carried out for an optimized crystal structure of CaTl3Fe.

```
data_CaTl3Fe
_cell_length_a 5.8753
_cell_length_b 5.8753
_cell_length_c 5.8753
_cell_angle_alpha 90.00
_cell_angle_beta 90.00
_cell_angle_gamma 90.00
_symmetry_space_group_name_H-M 'P m -3 m'
_symmetry_Int_Tables_number 221
_symmetry_space_group_name_Hall '-P 4 2 3'
loop_
_atom_site_label
_atom_site_type_symbol
_atom_site_fract_x
_atom_site_fract_y
_atom_site_fract_z
_atom_site_occupancy
Ca1 Ca 0.0000 0.0000 0.0000 1
Tl1 Tl 0.0000 0.0000 0.5000 1
Fe1 Fe 0.5000 0.5000 0.5000 1
```

Polymorph energy (0 for the lowest one), eV per atom: 1.005
E, eV per atom: -2.38
Energy relative to the elements, meV per atom: 1130
V, A^3/atom: 40.6
DOS(E_F), states/eV per cell: 13.1

Record 4
A plane-wave DFT calculation with GGA-PBE was carried out for an optimized crystal structure of KNa2SeF.

```
data_KNa2SeF
_cell_length_a 4.7027
_cell_length_b 4.7027
_cell_length_c 4.9985
_cell_angle_alpha 90.00
_cell_angle_beta 90.00
_cell_angle_gamma 90.00
_symmetry_space_group_name_H-M 'P 4/m m m'
_symmetry_Int_Tables_number 123
_symmetry_space_group_name_Hall '-P 4 2'
loop_
_atom_site_label
_atom_site_type_symbol
_atom_site_fract_x
_atom_site_fract_y
_atom_site_fract_z
_atom_site_occupancy
K1 K 0.0000 0.0000 0.0000 1
Na1 Na 0.0000 0.5000 0.5000 1
Se1 Se 0.5000 0.5000 0.0000 1
F1 F 0.0000 0.0000 0.5000 1
```

E, eV per atom: -3.47
ΔE_f (raw), eV/atom: -1.656
V, A^3/atom: 22.1
DOS(E_F), states/eV per cell: 0.0

Record 5
A plane-wave DFT calculation with GGA-PBE was carried out for an optimized crystal structure of NaUGaBr6.

```
data_NaUGaBr6
_cell_length_a 7.5897
_cell_length_b 7.5897
_cell_length_c 13.0071
_cell_angle_alpha 90.00
_cell_angle_beta 90.00
_cell_angle_gamma 120.00
_symmetry_space_group_name_H-M 'P -3 1 c'
_symmetry_Int_Tables_number 163
_symmetry_space_group_name_Hall '-P 3 2c'
loop_
_atom_site_label
_atom_site_type_symbol
_atom_site_fract_x
_atom_site_fract_y
_atom_site_fract_z
_atom_site_occupancy
Na1 Na 0.0000 0.0000 0.0000 1
U1 U 0.3333 0.6667 0.2500 1
Ga1 Ga 0.3333 0.6667 0.7500 1
Br1 Br 0.0322 0.3627 0.1276 1
```

E, eV per atom: -4.05
ΔE_f (raw), eV/atom: -1.195
V, A^3/atom: 36.0
DOS(E_F), states/eV per cell: 15.1

Record 6
A plane-wave DFT calculation with GGA-PBE was carried out for an optimized crystal structure of MgScP2S.

```
data_MgScP2S
_cell_length_a 4.9284
_cell_length_b 4.9284
_cell_length_c 4.8777
_cell_angle_alpha 90.00
_cell_angle_beta 90.00
_cell_angle_gamma 90.00
_symmetry_space_group_name_H-M 'P 4/m m m'
_symmetry_Int_Tables_number 123
_symmetry_space_group_name_Hall '-P 4 2'
loop_
_atom_site_label
_atom_site_type_symbol
_atom_site_fract_x
_atom_site_fract_y
_atom_site_fract_z
_atom_site_occupancy
Mg1 Mg 0.0000 0.0000 0.0000 1
Sc1 Sc 0.5000 0.5000 0.5000 1
P1 P 0.0000 0.5000 0.5000 1
S1 S 0.5000 0.5000 0.0000 1
```

Polymorph energy (0 for the lowest one), eV per atom: 0.000
E, eV per atom: -4.58
ΔE_f (raw), eV/atom: -0.009
V, A^3/atom: 23.7
DOS(E_F), states/eV per cell: 4.1

Record 7
A plane-wave DFT calculation with GGA-PBE was carried out for an optimized crystal structure of Li2YBeNi.

```
data_Li2YBeNi
_cell_length_a 4.2836
_cell_length_b 4.2836
_cell_length_c 5.3547
_cell_angle_alpha 90.00
_cell_angle_beta 90.00
_cell_angle_gamma 90.00
_symmetry_space_group_name_H-M 'P 4/m m m'
_symmetry_Int_Tables_number 123
_symmetry_space_group_name_Hall '-P 4 2'
loop_
_atom_site_label
_atom_site_type_symbol
_atom_site_fract_x
_atom_site_fract_y
_atom_site_fract_z
_atom_site_occupancy
Li1 Li 0.0000 0.5000 0.0000 1
Y1 Y 0.0000 0.0000 0.5000 1
Be1 Be 0.0000 0.0000 0.0000 1
Ni1 Ni 0.5000 0.5000 0.5000 1
```

E, eV per atom: -3.36
Energy relative to the elements, meV per atom: 598
V, A^3/atom: 19.7
DOS(E_F), states/eV per cell: 3.1

Record 8
A plane-wave DFT calculation with GGA-PBE was carried out for an optimized crystal structure of MgFeTe.

```
data_MgFeTe
_cell_length_a 4.2947
_cell_length_b 4.2947
_cell_length_c 3.8389
_cell_angle_alpha 90.00
_cell_angle_beta 90.00
_cell_angle_gamma 120.00
_symmetry_space_group_name_H-M 'P -6 m 2'
_symmetry_Int_Tables_number 187
_symmetry_space_group_name_Hall 'P -6 2'
loop_
_atom_site_label
_atom_site_type_symbol
_atom_site_fract_x
_atom_site_fract_y
_atom_site_fract_z
_atom_site_occupancy
Mg1 Mg 0.0000 0.0000 0.0000 1
Fe1 Fe 0.6667 0.3333 0.5000 1
Te1 Te 0.3333 0.6667 0.5000 1
```

Polymorph energy (0 for the lowest one), eV per atom: 0.163
E, eV per atom: -4.30
ΔE_f (raw), eV/atom: 0.098
V, A^3/atom: 20.4
DOS(E_F), states/eV per cell: 3.2

Record 9
A plane-wave DFT calculation with GGA-PBE was carried out for an optimized crystal structure of VRhPb3.

```
data_VRhPb3
_cell_length_a 5.2605
_cell_length_b 5.2605
_cell_length_c 5.2605
_cell_angle_alpha 90.00
_cell_angle_beta 90.00
_cell_angle_gamma 90.00
_symmetry_space_group_name_H-M 'P m -3 m'
_symmetry_Int_Tables_number 221
_symmetry_space_group_name_Hall '-P 4 2 3'
loop_
_atom_site_label
_atom_site_type_symbol
_atom_site_fract_x
_atom_site_fract_y
_atom_site_fract_z
_atom_site_occupancy
V1 V 0.0000 0.0000 0.0000 1
Rh1 Rh 0.5000 0.5000 0.5000 1
Pb1 Pb 0.0000 0.5000 0.5000 1
```

Polymorph energy (0 for the lowest one), eV per atom: 0.000
E, eV per atom: -4.82
Energy relative to the elements, meV per atom: 695
V, A^3/atom: 29.1
DOS(E_F), states/eV per cell: 10.9

Record 10
A plane-wave DFT calculation with GGA-PBE was carried out for an optimized crystal structure of ScCd2In5.

```
data_ScCd2In5
_cell_length_a 7.8703
_cell_length_b 7.8703
_cell_length_c 6.3545
_cell_angle_alpha 90.00
_cell_angle_beta 90.00
_cell_angle_gamma 90.00
_symmetry_space_group_name_H-M 'I 4/m m m'
_symmetry_Int_Tables_number 139
_symmetry_space_group_name_Hall '-I 4 2'
loop_
_atom_site_label
_atom_site_type_symbol
_atom_site_fract_x
_atom_site_fract_y
_atom_site_fract_z
_atom_site_occupancy
Sc1 Sc 0.0000 0.0000 0.0000 1
Cd1 Cd 0.0000 0.5000 0.0000 1
In1 In 0.0000 0.0000 0.5000 1
In2 In 0.2500 0.2500 0.2500 1
```

E, eV per atom: -2.82
Energy relative to the elements, meV per atom: -88
V, A^3/atom: 24.6
DOS(E_F), states/eV per cell: 7.8

Record 11
A plane-wave DFT calculation with GGA-PBE was carried out for an optimized crystal structure of LiDyIn2Au4.

```
data_LiDyIn2Au4
_cell_length_a 4.7897
_cell_length_b 4.7897
_cell_length_c 24.2618
_cell_angle_alpha 90.00
_cell_angle_beta 90.00
_cell_angle_gamma 120.00
_symmetry_space_group_name_H-M 'R -3 m'
_symmetry_Int_Tables_number 166
_symmetry_space_group_name_Hall '-R 3 2"'
loop_
_atom_site_label
_atom_site_type_symbol
_atom_site_fract_x
_atom_site_fract_y
_atom_site_fract_z
_atom_site_occupancy
Li1 Li 0.0000 0.0000 0.0000 1
Dy1 Dy 0.0000 0.0000 0.5000 1
In1 In 0.0000 0.0000 0.2541 1
Au1 Au 0.0000 0.0000 0.1155 1
Au2 Au 0.0000 0.0000 0.3723 1
```

E, eV per atom: -3.68
Energy relative to the elements, meV per atom: -541
V, A^3/atom: 20.1
DOS(E_F), states/eV per cell: 10.5

Record 12
A plane-wave DFT calculation with GGA-PBE was carried out for an optimized crystal structure of KRe2Ni.

```
data_KRe2Ni
_cell_length_a 5.2035
_cell_length_b 10.1924
_cell_length_c 2.5663
_cell_angle_alpha 90.00
_cell_angle_beta 90.00
_cell_angle_gamma 90.00
_symmetry_space_group_name_H-M 'C m m m'
_symmetry_Int_Tables_number 65
_symmetry_space_group_name_Hall '-C 2 2'
loop_
_atom_site_label
_atom_site_type_symbol
_atom_site_fract_x
_atom_site_fract_y
_atom_site_fract_z
_atom_site_occupancy
K1 K 0.0000 0.0000 0.0000 1
Re1 Re 0.2500 0.2500 0.5000 1
Ni1 Ni 0.0000 0.5000 0.0000 1
```

Polymorph energy (0 for the lowest one), eV per atom: 0.670
E, eV per atom: -6.58
Energy relative to the elements, meV per atom: 1364
V, A^3/atom: 17.0
DOS(E_F), states/eV per cell: 7.7